Entry 1:
Material: Ba2LiMgPt
Method: DFT, PBE
State: relaxed

Summary:
The value obtained for the density is 4.36 g/cm3. Its energy relative to the lowest polymorph listed for this composition is 0.33 eV per formula unit. The calculation puts the energy relative to the elements at -0.28 eV per atom. As for the raw total energy: -2.96 eV per atom.

a b c (Å): 6.1807 6.1807 5.0001
angles (deg): 90.00 90.00 90.00
Element x y z (fractional)
Mg  0.5000  0.5000  0.5000
Ba  0.0000  0.5000  0.0000
Ba  0.5000  0.0000  0.0000
Pt  0.0000  0.0000  0.0000
Li  0.0000  0.0000  0.5000



Entry 2:
Material: Ba2LiMgPt
Method: DFT, PBE
State: relaxed

Summary:
The value obtained for the density is 4.17 g/cm3. Its energy relative to the lowest polymorph listed for this composition is 0.00 eV per formula unit. The calculation puts the energy relative to the elements at -0.34 eV per atom. As for the raw total energy: -3.02 eV per atom.

a b c (Å): 6.1872 6.1872 5.2095
angles (deg): 90.00 90.00 90.00
Element x y z (fractional)
Mg  0.0000  0.0000  0.5000
Ba  0.0000  0.5000  0.0000
Ba  0.5000  0.0000  0.0000
Pt  0.0000  0.0000  0.0000
Li  0.5000  0.5000  0.5000



Entry 3:
Material: BaLiMg2Rh
Method: DFT, PBE
State: relaxed

Summary:
The value obtained for the density is 3.67 g/cm3. The calculation puts the energy relative to the elements at -0.17 eV per atom. As for the raw total energy: -3.04 eV per atom.

a b c (Å): 5.1034 5.1034 5.1373
angles (deg): 90.00 90.00 90.00
Element x y z (fractional)
Mg  0.0000  0.5000  0.0000
Mg  0.5000  0.0000  0.0000
Rh  0.0000  0.0000  0.0000
Ba  0.5000  0.5000  0.5000
Li  0.0000  0.0000  0.5000



Entry 4:
Material: BaLi2MgRh
Method: DFT, PBE
State: relaxed

Summary:
The value obtained for the density is 3.58 g/cm3. The calculation puts the energy relative to the elements at -0.05 eV per atom. As for the raw total energy: -2.99 eV per atom.

a b c (Å): 5.0425 5.0425 5.0748
angles (deg): 90.00 90.00 90.00
Element x y z (fractional)
Mg  0.0000  0.0000  0.5000
Rh  0.0000  0.0000  0.0000
Ba  0.5000  0.5000  0.5000
Li  0.0000  0.5000  0.0000
Li  0.5000  0.0000  0.0000